Computed, not measured: a relaxed Li2GaPbF8 crystal at the PBE-GGA level of DFT.

As for the raw formation energy: -2.5172 eV per atom.

It has space group Cmmm (No. 65), with a = 6.693 Å, b = 6.725 Å, c = 6.751 Å, α = 90.00°, β = 90.00° and γ = 90.00°. The asymmetric unit holds Li at (0.000, 0.000, 0.217), Ga at (0.000, 0.500, 0.000), Pb at (0.000, 0.500, 0.500), F at (0.000, 0.302, 0.214), F at (0.173, 0.000, 0.500) and F at (0.218, 0.000, 0.000).